Record 1
DFT (PBE) results for an optimized crystal structure of LiScCu4As2.

Cell: 4.1384 4.1384 6.5098 Å, 90.00 90.00 90.00°
Closest atoms and distances in Å follow each position.
Sites, in units of the cell vectors:
1 As 0.0000 0.0000 0.0000  8 Cu 2.53
2 As 0.5000 0.5000 0.5000  8 Cu 2.74, 4 Sc 2.93
3 Cu 0.5000 0.0000 0.2240  4 As 2.53-2.74, 2 Li 2.53, 2 Sc 2.74
4 Cu 0.0000 0.5000 0.2240  4 As 2.53-2.74, 2 Li 2.53, 2 Sc 2.74
5 Cu 0.5000 0.0000 0.7760  4 As 2.53-2.74, 2 Li 2.53, 2 Sc 2.74
6 Cu 0.0000 0.5000 0.7760  4 As 2.53-2.74, 2 Li 2.53, 2 Sc 2.74
7 Li 0.5000 0.5000 0.0000  8 Cu 2.53
8 Sc 0.0000 0.0000 0.5000  8 Cu 2.74, 4 As 2.93

Output
**Total DFT energy (no corrections)**: -4.25 eV per atom

Record 2
DFT (PBE) results for an optimized crystal structure of LuScAsO.

Cell: 4.0547 6.9758 5.8240 Å, 90.00 90.00 90.00°
Closest atoms and distances in Å follow each position.
Sites, in units of the cell vectors:
1 As 0.0000 0.8181 0.4180  2 Sc 2.61, 2 Lu 2.75-2.85
2 As 0.0000 0.1819 0.9180  2 Sc 2.61, 2 Lu 2.75-2.85
3 Lu 0.0000 0.2117 0.4298  2 O 2.21
4 Lu 0.0000 0.7883 0.9298  2 O 2.21
5 O 0.5000 0.3294 0.3769  2 Sc 2.08-2.10, 2 Lu 2.21
6 O 0.5000 0.6706 0.8769  2 Sc 2.08-2.10, 2 Lu 2.21
7 Sc 0.5000 0.3979 0.0293  2 O 2.08-2.10
8 Sc 0.5000 0.6021 0.5293  2 O 2.08-2.10

Output
**Total DFT energy (no corrections)**: -7.09 eV per atom

Record 3
DFT (PBE) results for an optimized crystal structure of MoN2.

Cell: 4.8421 4.8421 2.9275 Å, 90.00 90.00 90.00°
Closest atoms and distances in Å follow each position.
Sites, in units of the cell vectors:
1 Mo 0.0000 0.0000 0.0000  6 N 2.00-2.07
2 Mo 0.5000 0.5000 0.5000  6 N 2.00-2.07
3 N 0.3017 0.3017 0.0000  3 Mo 2.00-2.07
4 N 0.6983 0.6983 0.0000  3 Mo 2.00-2.07
5 N 0.8017 0.1983 0.5000  3 Mo 2.00-2.07
6 N 0.1983 0.8017 0.5000  3 Mo 2.00-2.07

Output
**Total DFT energy (no corrections)**: -9.01 eV per atom